Here is a relaxed HfPbW2 crystal from the Alexandria database. Energies are from GGA-PBE.

Cell lengths 7.718, 7.718, 5.678 Å; angles 90.00, 90.00, 90.00 degrees
Space group I-42d (No. 122)
Symmetry-distinct sites (fractional):
1 Hf 0.000 0.000 0.000 [4 per cell]
2 Pb 0.000 0.000 0.500 [4 per cell]
3 W 0.242 0.250 0.125 [8 per cell]

Calculated values
E_form: 5.35 eV/f.u.
magnetic moment: 0.00 μB/f.u.
ρ: 14.793 g/cm³